CeNdAg PBE optimized geometry; DOS at the Fermi energy = 6.838 states/eV/f.u.; size of the total moment = 1.36 μB/cell; E_form = -0.035 eV per atom; crystal system = tetragonal; ΔE to the lowest computed polymorph = 45 meV per atom; calculated total energy = -4.55 eV/atom; calculated density = 7.6 g cm⁻³
1.0
-1.837 1.837 6.367
1.837 -1.837 6.367
1.837 1.837 -6.367
Ce Nd Ag
1 1 1
direct
0.000 0.000 0.000
0.700 0.700 0.000
0.350 0.350 0.000